First-principles (PBE) data for LaSbSe after structural relaxation, as listed in Alexandria.

```
LaSbSe
1.0
4.2416 0.0000 0.0000
1.9369 5.5678 0.0000
2.0329 1.9153 7.5253
La Sb Se
2 2 2
Direct
0.0000 0.0000 0.0000
0.0785 0.4529 0.3817
0.0416 0.7251 0.6912
0.5400 0.2251 0.6904
0.3703 0.9200 0.3250
0.7092 0.5330 0.0563
```

Results
Its space group is P1 (1). The calculation puts the formation energy from raw total energies at -1.2042 eV/atom.



First-principles (PBE) data for Rb2BSCl6 after structural relaxation, as listed in Alexandria.

```
Rb2BSCl6
1.0
-3.6341 3.6341 5.3721
3.6341 -3.6341 5.3721
3.6341 3.6341 -5.3721
Rb B S Cl
2 1 1 6
Direct
0.2500 0.7500 0.5000
0.7500 0.2500 0.5000
0.0000 0.0000 0.0000
0.5000 0.5000 0.0000
0.1940 0.1940 0.3880
0.1940 0.8060 0.0000
0.2857 0.2857 0.0000
0.7143 0.7143 0.0000
0.8060 0.1940 0.0000
0.8060 0.8060 0.6120
```

Results
Its space group is I4/mmm (139). The calculation puts the formation energy from raw total energies at -0.7595 eV/atom.



First-principles (PBE) data for In2FeAg after structural relaxation, as listed in Alexandria.

```
In2FeAg
1.0
4.4129 0.0000 0.0000
0.0000 4.4129 0.0000
0.0000 0.0000 3.8401
In Fe Ag
2 1 1
Direct
0.0000 0.5000 0.0000
0.5000 0.0000 0.0000
0.0000 0.0000 0.5000
0.5000 0.5000 0.5000
```

Results
Its space group is P4/mmm (123). Its formation energy is 242 meV per atom.



First-principles (PBE) data for CeErTi after structural relaxation, as listed in Alexandria.

```
CeErTi
1.0
3.4697 0.0000 0.0000
0.0000 3.4697 0.0000
0.0000 0.0000 12.5046
Ce Er Ti
2 2 2
Direct
0.2500 0.2500 0.2071
0.7500 0.7500 0.7929
0.2500 0.2500 0.6038
0.7500 0.7500 0.3962
0.2500 0.2500 0.9439
0.7500 0.7500 0.0561
```

Results
Its space group is P4/nmm (129). Its formation energy is 148 meV per atom.



First-principles (PBE) data for Cs2KAu after structural relaxation, as listed in Alexandria.

```
Cs2KAu
1.0
2.5511 1.4729 12.3796
-2.5511 1.4729 12.3796
0.0000 -2.9457 12.3796
Cs K Au
2 1 1
Direct
0.0000 0.0000 0.0000
0.2223 0.2223 0.2223
0.4452 0.4452 0.4452
0.6110 0.6110 0.6110
```

Results
Its space group is R3m (160). Its formation energy is -171 meV per atom.



First-principles (PBE) data for ScTiBiP2 after structural relaxation, as listed in Alexandria.

```
ScTiBiP2
1.0
4.6972 0.0000 0.0000
0.0000 4.6972 0.0000
0.0000 0.0000 5.2261
Sc Ti Bi P
1 1 1 2
Direct
0.0000 0.0000 0.0000
0.0000 0.0000 0.5000
0.5000 0.5000 0.0000
0.0000 0.5000 0.5000
0.5000 0.0000 0.5000
```

Results
Its space group is P4/mmm (123). Its formation energy is 158 meV per atom.



First-principles (PBE) data for Pu3As2Se after structural relaxation, as listed in Alexandria.

```
Pu3As2Se
1.0
-2.0773 2.9339 6.2291
2.0773 -2.9339 6.2291
2.0773 2.9339 -6.2291
Pu As Se
3 2 1
Direct
0.0000 0.0000 0.0000
0.3309 0.3309 0.0000
0.6691 0.6691 0.0000
0.1654 0.6654 0.5000
0.8346 0.3346 0.5000
0.5000 0.0000 0.5000
```

Results
Its space group is Immm (71). The calculation puts the formation energy from raw total energies at -1.2177 eV/atom.



First-principles (PBE) data for LaCdP2O after structural relaxation, as listed in Alexandria.

```
LaCdP2O
1.0
4.9360 0.0000 0.0000
0.0000 4.9360 0.0000
0.0000 0.0000 4.3033
La Cd P O
1 1 2 1
Direct
0.0000 0.0000 0.0000
0.5000 0.5000 0.5000
0.0000 0.5000 0.5000
0.5000 0.0000 0.5000
0.5000 0.5000 0.0000
```

Results
Its space group is P4/mmm (123). The calculation puts the formation energy from raw total energies at -0.2571 eV/atom.



First-principles (PBE) data for CePtRh2 after structural relaxation, as listed in Alexandria.

```
CePtRh2
1.0
2.3549 1.3596 3.8680
-2.3549 1.3596 3.8680
0.0000 -2.7192 3.8680
Ce Pt Rh
1 1 2
Direct
0.0000 0.0000 0.0000
0.5000 0.5000 0.5000
0.2098 0.2098 0.2098
0.7902 0.7902 0.7902
```

Results
Its space group is R-3m (166). Its formation energy is -605 meV per atom.



First-principles (PBE) data for TaVW2 after structural relaxation, as listed in Alexandria.

```
TaVW2
1.0
0.0000 3.1708 3.1708
3.1708 0.0000 3.1708
3.1708 3.1708 0.0000
Ta V W
1 1 2
Direct
0.0000 0.0000 0.0000
0.5000 0.5000 0.5000
0.2500 0.2500 0.2500
0.7500 0.7500 0.7500
```

Results
Its space group is Fm-3m (225). Its formation energy is -56 meV per atom.



First-principles (PBE) data for Ge3OsC after structural relaxation, as listed in Alexandria.

```
Ge3OsC
1.0
4.1892 0.0000 0.0000
0.0000 4.1892 0.0000
0.0000 0.0000 4.1892
Ge Os C
3 1 1
Direct
0.0000 0.0000 0.5000
0.0000 0.5000 0.0000
0.5000 0.0000 0.0000
0.5000 0.5000 0.5000
0.0000 0.0000 0.0000
```

Results
Its space group is Pm-3m (221). Its formation energy is 1255 meV per atom.



First-principles (PBE) data for La3Pm3ErTe8 after structural relaxation, as listed in Alexandria.

```
La3Pm3ErTe8
1.0
4.4856 2.5898 7.4047
-4.4856 2.5898 7.4047
0.0000 -5.1796 7.4047
La Pm Er Te
3 3 1 8
Direct
0.0000 0.5000 0.5000
0.5000 0.0000 0.5000
0.5000 0.5000 0.0000
0.0000 0.0000 0.5000
0.0000 0.5000 0.0000
0.5000 0.0000 0.0000
0.5000 0.5000 0.5000
0.2477 0.2477 0.2477
0.2492 0.7461 0.7461
0.2539 0.2539 0.7508
0.2539 0.7508 0.2539
0.7461 0.2492 0.7461
0.7461 0.7461 0.2492
0.7508 0.2539 0.2539
0.7523 0.7523 0.7523
```

Results
Its space group is R-3m (166). The calculation puts the formation energy from raw total energies at -1.5037 eV/atom.



First-principles (PBE) data for ReBPC after structural relaxation, as listed in Alexandria.

```
ReBPC
1.0
3.2022 0.0000 0.0000
0.0000 2.9126 0.0000
-1.3869 0.0000 4.3167
Re B P C
1 1 1 1
Direct
0.0000 0.0000 0.0000
0.6092 0.5000 0.2158
0.2759 0.0000 0.5562
0.6320 0.5000 0.5833
```

Results
Its space group is Pm (6). Its formation energy is 412 meV per atom.



First-principles (PBE) data for Si2RhC after structural relaxation, as listed in Alexandria.

```
Si2RhC
1.0
-2.6326 2.6326 3.9353
2.6326 -2.6326 3.9353
2.6326 2.6326 -3.9353
Si Rh C
4 2 2
Direct
0.0555 0.6250 0.9305
0.3750 0.3055 0.4305
0.6945 0.1250 0.0695
0.8750 0.9445 0.5695
0.2500 0.7500 0.5000
0.5000 0.5000 0.0000
0.0000 0.0000 0.0000
0.7500 0.2500 0.5000
```

Results
Its space group is I-42d (122). The calculation puts the formation energy from raw total energies at 0.0127 eV/atom.



First-principles (PBE) data for HfSnS3 after structural relaxation, as listed in Alexandria.

```
HfSnS3
1.0
8.1612 0.0000 0.0000
0.0000 3.6855 0.0000
-2.2138 0.0000 8.0895
Hf Sn S
2 2 6
Direct
0.1744 0.2500 0.1575
0.8256 0.7500 0.8425
0.3180 0.7500 0.6964
0.6820 0.2500 0.3036
0.0496 0.2500 0.8394
0.2701 0.2500 0.4684
0.3746 0.7500 0.1324
0.6254 0.2500 0.8676
0.7299 0.7500 0.5316
0.9504 0.7500 0.1606
```

Results
Its space group is P2_1/m (11). The calculation puts the formation energy from raw total energies at -1.0387 eV/atom.



First-principles (PBE) data for NaDy3Er2Se6 after structural relaxation, as listed in Alexandria.

```
NaDy3Er2Se6
1.0
8.8909 -2.0299 0.0000
8.8909 2.0299 0.0000
-1.8930 0.0000 7.9664
Na Dy Er Se
1 3 2 6
Direct
0.0000 0.0000 0.0000
0.0000 0.0000 0.5000
0.3369 0.3369 0.1751
0.6631 0.6631 0.8249
0.3318 0.3318 0.6584
0.6682 0.6682 0.3416
0.1663 0.1663 0.5823
0.1687 0.1687 0.0859
0.4970 0.4970 0.7476
0.5030 0.5030 0.2524
0.8313 0.8313 0.9141
0.8337 0.8337 0.4177
```

Results
Its space group is C2/m (12). The calculation puts the formation energy from raw total energies at -1.7224 eV/atom.



First-principles (PBE) data for RbGa3Pd after structural relaxation, as listed in Alexandria.

```
RbGa3Pd
1.0
5.7817 0.0000 0.0000
0.0000 5.7817 0.0000
0.0000 0.0000 5.7817
Rb Ga Pd
1 3 1
Direct
0.0000 0.0000 0.0000
0.0000 0.0000 0.5000
0.0000 0.5000 0.0000
0.5000 0.0000 0.0000
0.5000 0.5000 0.5000
```

Results
Its space group is Pm-3m (221). Its formation energy is 1445 meV per atom.



First-principles (PBE) data for MgSi2Ag after structural relaxation, as listed in Alexandria.

```
MgSi2Ag
1.0
-2.0522 2.0522 4.0821
2.0522 -2.0522 4.0821
2.0522 2.0522 -4.0821
Mg Si Ag
1 2 1
Direct
0.0000 0.0000 0.0000
0.2500 0.7500 0.5000
0.7500 0.2500 0.5000
0.5000 0.5000 0.0000
```

Results
Its space group is I4/mmm (139). The calculation puts the formation energy from raw total energies at 0.2326 eV/atom.



First-principles (PBE) data for CsSrYBr6 after structural relaxation, as listed in Alexandria.

```
CsSrYBr6
1.0
7.7678 0.0000 0.0000
-3.8839 6.7272 0.0000
0.0000 0.0000 15.5844
Cs Sr Y Br
2 2 2 12
Direct
0.0000 0.0000 0.0000
0.0000 0.0000 0.5000
0.3333 0.6667 0.2500
0.6667 0.3333 0.7500
0.3333 0.6667 0.7500
0.6667 0.3333 0.2500
0.0238 0.3889 0.6438
0.0238 0.6349 0.8562
0.3651 0.3889 0.8562
0.3651 0.9762 0.6438
0.3889 0.0238 0.1438
0.3889 0.3651 0.3562
0.6111 0.6349 0.6438
0.6111 0.9762 0.8562
0.6349 0.0238 0.3562
0.6349 0.6111 0.1438
0.9762 0.3651 0.1438
0.9762 0.6111 0.3562
```

Results
Its space group is P-31c (163). The calculation puts the formation energy from raw total energies at -1.9774 eV/atom.



First-principles (PBE) data for Li2CoAg after structural relaxation, as listed in Alexandria.

```
Li2CoAg
1.0
2.7137 0.0000 0.0000
0.0000 2.7137 0.0000
0.0000 0.0000 8.3255
Li Co Ag
2 1 1
Direct
0.0000 0.0000 0.0000
0.5000 0.5000 0.2960
0.5000 0.5000 0.7801
0.0000 0.0000 0.5397
```

Results
Its space group is P4mm (99). Its formation energy is 182 meV per atom.



We obtain calculated volume values of 177.7, 283.8, 74.8, 150.5, 279.1, 115.3, 151.9, 104.8, 74.3, 63.8, 73.5, 516.1, 40.3, 109.1, 243.3, 287.6, 193.3, 68.8, 814.4, 61.3 Å³ per cell for the records listed above, in that order.